Compound: Pa2Cu5O12
Source: Alexandria
Functional: PBE
Structure: relaxed

Properties
formation energy from raw total energies = -23.47 eV/f.u.
D(E_F) = 0.416 states/eV/atom
SG = C2/m
DFT total energy = -6.44 eV/atom
size of the total moment = 5.06 Bohr magnetons per cell

```
Pa2Cu5O12
1.0
-0.457 -3.955 -5.283
2.917 -1.747 5.197
-7.531 -1.446 1.734
Cu Pa O
5 2 12
Direct
0.251 0.501 0.001 Cu
0.270 0.541 0.496 Cu
0.749 0.499 0.999 Cu
0.730 0.459 0.504 Cu
0.000 0.000 0.500 Cu
0.250 0.000 0.000 Pa
0.750 0.000 0.000 Pa
0.938 0.875 0.142 O
0.952 0.405 0.136 O
0.062 0.125 0.858 O
0.673 0.732 0.521 O
0.327 0.268 0.479 O
0.560 0.119 0.857 O
0.048 0.595 0.864 O
0.547 0.595 0.864 O
0.453 0.405 0.136 O
0.940 0.268 0.479 O
0.440 0.881 0.143 O
0.060 0.732 0.521 O
```